Record 1
Entry from the Alexandria database: a relaxed YCrSe crystal (PBE).

Calculated volume: 27.5 Å³/atom
ΔE to the lowest computed polymorph: 1.686 eV/f.u.

Lattice parameters (Å, degrees): 6.907 6.907 6.907 90.00 90.00 90.00
Space group F-43m (No. 216)
Unique sites:
1 Y 0.000 0.000 0.000 x4
2 Cr 0.250 0.250 0.750 x4
3 Se 0.250 0.250 0.250 x4

---

Record 2
Entry from the Alexandria database: a relaxed Ta2OsI2 crystal (PBE).

Calculated volume: 24.0 Å³/atom
ΔE to the lowest computed polymorph: 0.381 eV/f.u.

Lattice parameters (Å, degrees): 3.804 3.804 16.619 90.00 90.00 90.00
Space group I4/mmm (No. 139)
Unique sites:
1 Ta 0.000 0.500 0.250 x4
2 Os 0.000 0.000 0.000 x2
3 I 0.000 0.000 0.387 x4

---

Record 3
Entry from the Alexandria database: a relaxed BaSm2Lu crystal (PBE).

Calculated volume: 36.9 Å³/atom
ΔE to the lowest computed polymorph: 0.290 eV/f.u.

Lattice parameters (Å, degrees): 3.6316 3.6316 38.7501 90.00 90.00 120.00
Space group R-3m (No. 166, hexagonal axes)
Unique sites:
1 Ba 0.0000 0.0000 0.0000 x3
2 Sm 0.0000 0.0000 0.0945 x6
3 Lu 0.0000 0.0000 0.5000 x3

---

Record 4
Entry from the Alexandria database: a relaxed Rb2ZrSbCl crystal (PBE).

Calculated volume: 56.2 Å³/atom
ΔE to the lowest computed polymorph: 0.000 eV/f.u.

Lattice parameters (Å, degrees): 7.118 7.118 5.543 90.00 90.00 90.00
Space group P4/mmm (No. 123)
Unique sites:
1 Rb 0.000 0.500 0.000 x2
2 Zr 0.000 0.000 0.500 x1
3 Sb 0.000 0.000 0.000 x1
4 Cl 0.500 0.500 0.500 x1

---

Record 5
Entry from the Alexandria database: a relaxed CeCd9Pd3 crystal (PBE).

Calculated volume: 21.0 Å³/atom

Lattice parameters (Å, degrees): 5.651 13.965 7.447 90.00 112.01 90.00
Space group C2/m (No. 12)
Unique sites:
1 Ce 0.000 0.000 0.000 x2
2 Cd 0.000 0.000 0.500 x2
3 Cd 0.101 0.390 0.212 x8
4 Cd 0.176 0.175 0.336 x8
5 Pd 0.000 0.500 0.500 x2
6 Pd 0.250 0.250 0.000 x4

---

Record 6
Entry from the Alexandria database: a relaxed K2TaSb crystal (PBE).

Calculated volume: 28.6 Å³/atom

Lattice parameters (Å, degrees): 3.241 5.905 5.969 90.00 90.00 90.00
Space group Pmmm (No. 47)
Unique sites:
1 K 0.000 0.248 0.000 x2
2 Ta 0.500 0.500 0.500 x1
3 Sb 0.500 0.000 0.500 x1

---

no.,DFT total energy (eV per atom)
1,-6.43
2,-6.01
3,-3.76
4,-3.48
5,-2.56
6,-3.78